A plane-wave DFT calculation with PBE was carried out for an optimized crystal structure of La2PPt.

Results
As for the energy of formation from the pure elements: -1.289 eV/atom.

Cell: 7.591 7.591 7.591 Å, 32.07 32.07 32.07°
Sites, in units of the cell vectors:
P  0.250  0.250  0.250
Pt  0.750  0.750  0.750
La  0.999  0.999  0.999
La  0.501  0.501  0.501